# 1
Below is a geometry-optimized TeIr2Pt structure, with properties calculated at the GGA-PBE level.

abc: 3.7005 2.8121 7.5151
angles: 68.08 90.00 90.00
With the nearest neighbours (Å) after each atom.
Element x y z (fractional)
Ir  0.0000  0.8190  0.0555  6 Ir 2.63-2.81, 2 Te 2.80, 1 Pt 2.80
Ir  0.5000  0.1424  0.2327  6 Ir 2.63-2.81, 4 Pt 2.80
Pt  0.0000  0.4184  0.4569  2 Te 2.78, 5 Ir 2.80, 2 Pt 2.81
Te  0.5000  0.1202  0.7549  2 Pt 2.78, 2 Ir 2.80, 2 Te 2.81

Results
Total moment ... 0.00 μB per formula unit
Final energy ... -6.53 eV per atom
E_form (uncorrected) ... 0.196 eV/atom
Symmetry ... No. 25

***

# 2
Below is a geometry-optimized TeIr2Pt structure, with properties calculated at the GGA-PBE level.

abc: 4.4378 4.4378 3.4882
angles: 90.00 90.00 102.45
With the nearest neighbours (Å) after each atom.
Element x y z (fractional)
Ir  0.0000  0.0000  0.0000  2 Ir 2.78, 4 Te 2.82, 4 Pt 2.82
Ir  0.5000  0.5000  0.0000  2 Ir 2.78, 4 Pt 2.82, 4 Te 2.82
Pt  0.5000  0.0000  0.5000  2 Te 2.78, 8 Ir 2.82
Te  0.0000  0.5000  0.5000  2 Pt 2.78, 8 Ir 2.82

Results
Total moment ... 0.00 μB per formula unit
Final energy ... -6.38 eV per atom
E_form (uncorrected) ... 0.347 eV/atom
Symmetry ... No. 65